Here is crystalline Er4AgRu3 at its relaxed geometry from the Alexandria database. Energies are from PBE-GGA.

energy of formation from the pure elements = -423 meV/atom
final energy = -6.539 eV/atom
crystal system = tetragonal

a = 4.822 Å, b = 6.889 Å, c = 9.644 Å
α = 90.00°, β = 90.00°, γ = 90.00°
Positions (direct):
Ag: 0.000 0.500 0.000
Ru: 0.500 0.500 0.250
Er: 0.000 0.239 0.250
Er: 0.500 0.761 0.000
Ru: 0.500 0.500 0.750
Er: 0.000 0.761 0.750
Ru: 0.000 0.000 0.000
Er: 0.000 0.239 0.750
Er: 0.500 0.239 0.000
Er: 0.500 0.239 0.500
Er: 0.000 0.761 0.250
Ru: 0.500 0.000 0.250
Ru: 0.000 0.000 0.500
Ag: 0.000 0.500 0.500
Er: 0.500 0.761 0.500
Ru: 0.500 0.000 0.750